Density functional theory data (GGA-PBE) for a relaxed structure of ScMn2Fe.

Properties
Energy of formation ... 0.42 eV per atom
Distance to the lowest polymorph of the same formula ... 0.326 eV per atom

Geometry as POSCAR:
```
ScMn2Fe
1.0
-8.079 -0.858 2.484
-6.801 -0.900 5.012
-7.440 1.574 3.789
Sc Mn Fe
1 2 1
Direct
0.250 0.250 0.250 Sc
0.490 0.490 0.490 Mn
0.010 0.010 0.010 Mn
0.750 0.750 0.750 Fe
```


Density functional theory data (GGA-PBE) for a relaxed structure of Ca2NdCd3.

Properties
Energy of formation ... -0.36 eV per atom
Distance to the lowest polymorph of the same formula ... 0.000 eV per atom

Geometry as POSCAR:
```
Ca2NdCd3
1.0
5.428 0.000 0.000
-2.714 4.700 0.000
0.000 0.000 6.679
Cd Nd Ca
3 1 2
Direct
0.333 0.667 0.163 Cd
0.667 0.333 0.837 Cd
0.000 0.000 0.500 Cd
0.000 0.000 0.000 Nd
0.667 0.333 0.337 Ca
0.333 0.667 0.663 Ca
```


Density functional theory data (GGA-PBE) for a relaxed structure of Ti6C3O2.

Properties
Raw formation energy ... -146 kJ per mole of atoms

Geometry as POSCAR:
```
Ti6C3O2
1.0
-4.696 2.231 -0.982
-4.240 -1.413 2.808
-0.559 4.313 2.986
O C Ti
2 3 6
Direct
0.166 0.667 0.500 O
0.834 0.333 0.500 O
0.334 0.331 0.000 C
0.000 0.000 0.000 C
0.666 0.669 0.000 C
0.587 0.345 0.238 Ti
0.755 0.000 0.771 Ti
0.245 0.000 0.229 Ti
0.068 0.345 0.762 Ti
0.413 0.655 0.762 Ti
0.932 0.655 0.238 Ti
```


Density functional theory data (GGA-PBE) for a relaxed structure of CuSi2Te.

Properties
Raw formation energy ... 21 kJ per mole of atoms

Geometry as POSCAR:
```
CuSi2Te
1.0
-0.465 -2.402 3.079
1.551 -3.609 0.183
5.213 0.195 3.548
Si Cu Te
2 1 1
Direct
0.772 0.772 0.821 Si
0.026 0.026 0.996 Si
0.246 0.246 0.211 Cu
0.456 0.456 0.472 Te
```


Density functional theory data (GGA-PBE) for a relaxed structure of LiTa2Re.

Properties
Energy of formation ... 0.16 eV per atom

Geometry as POSCAR:
```
LiTa2Re
1.0
-4.119 1.268 1.011
-0.196 -2.052 1.776
1.894 2.549 4.522
Ta Li Re
2 1 1
Direct
0.000 0.004 0.991 Ta
0.000 0.496 0.509 Ta
0.500 0.250 0.250 Li
0.500 0.750 0.750 Re
```


Density functional theory data (GGA-PBE) for a relaxed structure of LaAsIr2.

Properties
Energy of formation ... -0.51 eV per atom

Geometry as POSCAR:
```
LaAsIr2
1.0
-4.019 0.238 1.491
-3.260 -1.492 -2.362
-1.868 -5.104 1.924
As Ir La
1 2 1
Direct
0.750 0.750 0.750 As
0.454 0.454 0.636 Ir
0.046 0.046 0.864 Ir
0.250 0.250 0.250 La
```


Density functional theory data (GGA-PBE) for a relaxed structure of SrGaN2.

Properties
Distance to the lowest polymorph of the same formula ... 0.007 eV per atom
Raw formation energy ... -22 kJ per mole of atoms

Geometry as POSCAR:
```
SrGaN2
1.0
-4.165 -2.559 3.230
3.546 -4.566 0.956
0.942 -1.992 4.951
N Ga Sr
4 2 2
Direct
0.375 0.463 0.750 N
0.213 0.625 0.250 N
0.537 0.125 0.250 N
0.875 0.787 0.750 N
0.250 0.750 0.500 Ga
0.500 0.500 0.000 Ga
0.000 0.000 0.000 Sr
0.750 0.250 0.500 Sr
```


Density functional theory data (GGA-PBE) for a relaxed structure of Ho2PbS.

Properties
Distance to the lowest polymorph of the same formula ... 0.000 eV per atom
Raw formation energy ... -116 kJ per mole of atoms

Geometry as POSCAR:
```
Ho2PbS
1.0
-1.075 1.404 -3.332
0.611 -1.966 -3.161
-7.401 -3.769 -1.336
Ho S Pb
2 1 1
Direct
0.268 0.268 0.195 Ho
0.065 0.065 0.805 Ho
0.667 0.667 0.998 S
0.499 0.499 0.502 Pb
```


Density functional theory data (GGA-PBE) for a relaxed structure of Y2CuSnPd.

Properties
Energy of formation ... -0.04 eV per atom

Geometry as POSCAR:
```
Y2CuSnPd
1.0
5.281 0.000 0.000
0.000 4.647 0.000
0.000 0.000 5.281
Y Cu Sn Pd
2 1 1 1
Direct
0.500 0.000 0.000 Y
0.000 0.000 0.500 Y
0.000 0.000 0.000 Cu
0.000 0.500 0.000 Sn
0.500 0.500 0.500 Pd
```


Density functional theory data (GGA-PBE) for a relaxed structure of LaMo2Se.

Properties
Raw formation energy ... 7 kJ per mole of atoms

Geometry as POSCAR:
```
LaMo2Se
1.0
5.302 0.001 -0.004
4.153 3.296 -0.004
1.046 0.365 4.902
Se La Mo
1 1 2
Direct
0.750 0.750 0.750 Se
0.250 0.250 0.250 La
0.020 0.020 0.908 Mo
0.480 0.480 0.592 Mo
```


Density functional theory data (GGA-PBE) for a relaxed structure of ThNi4.

Properties
Energy of formation ... 1.49 eV per atom

Geometry as POSCAR:
```
ThNi4
1.0
-0.886 -1.049 4.539
-4.084 -2.047 -1.271
2.241 -4.147 -0.521
Ni Th
4 1
Direct
0.000 0.500 0.500 Ni
0.500 0.500 0.000 Ni
0.500 0.000 0.500 Ni
0.000 0.000 0.000 Ni
0.500 0.500 0.500 Th
```


Density functional theory data (GGA-PBE) for a relaxed structure of Sc3GaRu.

Properties
Energy of formation ... 0.59 eV per atom
Distance to the lowest polymorph of the same formula ... 1.026 eV per atom

Geometry as POSCAR:
```
Sc3GaRu
1.0
-0.441 -4.225 2.501
4.330 -1.519 -1.802
2.315 2.036 3.847
Ga Ru Sc
1 1 3
Direct
0.000 0.000 0.000 Ga
0.500 0.500 0.500 Ru
0.000 0.000 0.500 Sc
0.000 0.500 0.000 Sc
0.500 0.000 0.000 Sc
```


Density functional theory data (GGA-PBE) for a relaxed structure of Ho2Er2Sc3.

Properties
Energy of formation ... 0.25 eV per atom
Distance to the lowest polymorph of the same formula ... 0.113 eV per atom

Geometry as POSCAR:
```
Ho2Er2Sc3
1.0
-1.841 -6.694 -4.039
3.584 5.213 -4.949
4.971 -1.803 6.046
Sc Ho Er
6 4 4
Direct
0.250 0.946 0.196 Sc
0.750 0.554 0.304 Sc
0.054 0.304 0.250 Sc
0.446 0.196 0.750 Sc
0.696 0.750 0.946 Sc
0.804 0.250 0.554 Sc
0.181 0.681 0.681 Ho
0.000 0.000 0.819 Ho
0.319 0.500 0.000 Ho
0.500 0.819 0.500 Ho
0.500 0.417 0.500 Er
0.583 0.083 0.083 Er
0.917 0.500 0.000 Er
0.000 0.000 0.417 Er
```


Density functional theory data (GGA-PBE) for a relaxed structure of Ho6Pd5Pt.

Properties
Energy of formation ... -0.97 eV per atom
Distance to the lowest polymorph of the same formula ... 0.000 eV per atom

Geometry as POSCAR:
```
Ho6Pd5Pt
1.0
4.717 -0.028 1.557
0.037 6.914 0.012
-0.010 -0.014 7.818
Pd Ho Pt
5 6 1
Direct
0.665 0.500 0.669 Pd
0.671 0.000 0.658 Pd
0.000 0.500 0.000 Pd
0.329 0.000 0.342 Pd
0.335 0.500 0.331 Pd
0.500 0.247 0.000 Ho
0.835 0.751 0.331 Ho
0.165 0.751 0.669 Ho
0.165 0.249 0.669 Ho
0.500 0.753 0.000 Ho
0.835 0.249 0.331 Ho
0.000 0.000 0.000 Pt
```


Density functional theory data (GGA-PBE) for a relaxed structure of NaCd3In5.

Properties
Energy of formation ... -0.01 eV per atom
Distance to the lowest polymorph of the same formula ... 0.000 eV per atom

Geometry as POSCAR:
```
NaCd3In5
1.0
6.515 0.000 0.000
0.000 8.507 -4.911
0.000 -0.568 8.839
Cd Na In
6 2 10
Direct
0.250 0.024 0.341 Cd
0.250 0.337 0.000 Cd
0.750 0.976 0.659 Cd
0.250 0.683 0.659 Cd
0.750 0.317 0.341 Cd
0.750 0.663 0.000 Cd
0.500 0.000 0.000 Na
0.000 0.000 0.000 Na
0.750 0.317 0.000 In
0.000 0.659 0.318 In
0.000 0.341 0.682 In
0.250 0.996 0.658 In
0.750 0.662 0.658 In
0.250 0.338 0.342 In
0.500 0.659 0.318 In
0.250 0.683 0.000 In
0.750 0.004 0.342 In
0.500 0.341 0.682 In
```


Density functional theory data (GGA-PBE) for a relaxed structure of Li2TcCl.

Properties
Distance to the lowest polymorph of the same formula ... 0.490 eV per atom
Raw formation energy ... 22 kJ per mole of atoms

Geometry as POSCAR:
```
Li2TcCl
1.0
-4.064 2.332 5.395
1.129 -6.127 3.499
0.520 -0.918 5.521
Li Cl Tc
4 2 2
Direct
0.375 0.431 0.750 Li
0.875 0.819 0.750 Li
0.569 0.125 0.250 Li
0.181 0.625 0.250 Li
0.250 0.750 0.500 Cl
0.500 0.500 0.000 Cl
0.750 0.250 0.500 Tc
0.000 0.000 0.000 Tc
```


Density functional theory data (GGA-PBE) for a relaxed structure of PHI6.

Properties
VASP energy ... -2.183 eV per atom

Geometry as POSCAR:
```
PHI6
1.0
6.542 -0.066 2.716
2.981 6.797 3.125
5.254 3.582 11.083
H I P
1 6 1
Direct
0.500 0.500 0.500 H
0.604 0.130 0.232 I
0.874 0.502 0.314 I
0.126 0.498 0.686 I
0.782 0.950 0.908 I
0.396 0.870 0.768 I
0.218 0.050 0.092 I
0.000 0.000 0.000 P
```


Density functional theory data (GGA-PBE) for a relaxed structure of LiZnSn2Pd4.

Properties
Energy of formation ... -0.59 eV per atom

Geometry as POSCAR:
```
LiZnSn2Pd4
1.0
-4.027 1.499 1.412
-3.242 0.947 -3.009
-4.845 -6.099 -0.098
Pd Sn Zn Li
4 2 1 1
Direct
0.129 0.129 0.614 Pd
0.871 0.871 0.386 Pd
0.379 0.379 0.862 Pd
0.621 0.621 0.138 Pd
0.745 0.745 0.764 Sn
0.255 0.255 0.236 Sn
0.500 0.500 0.500 Zn
0.000 0.000 0.000 Li
```


Density functional theory data (GGA-PBE) for a relaxed structure of Pr2In8Rh.

Properties
Energy of formation ... -0.46 eV per atom

Geometry as POSCAR:
```
Pr2In8Rh
1.0
4.712 0.000 0.000
0.000 4.712 0.000
0.000 0.000 12.401
Pr In Rh
2 8 1
Direct
0.000 0.000 0.307 Pr
0.000 0.000 0.693 Pr
0.000 0.500 0.880 In
0.500 0.500 0.309 In
0.500 0.000 0.120 In
0.000 0.500 0.120 In
0.000 0.500 0.500 In
0.500 0.000 0.880 In
0.500 0.000 0.500 In
0.500 0.500 0.691 In
0.000 0.000 0.000 Rh
```


Density functional theory data (GGA-PBE) for a relaxed structure of ZrTcPb2.

Properties
Energy of formation ... 0.31 eV per atom
Distance to the lowest polymorph of the same formula ... 0.251 eV per atom

Geometry as POSCAR:
```
ZrTcPb2
1.0
5.792 -0.003 -0.001
2.329 5.303 0.001
-3.344 -3.747 2.885
Tc Pb Zr
1 2 1
Direct
0.750 0.250 0.500 Tc
0.980 0.980 0.000 Pb
0.520 0.520 0.000 Pb
0.250 0.750 0.500 Zr
```